Record 1
Here is a geometry-optimized PrMgIrPd structure from Alexandria via LeMat-Bulk. Energies are from PBE.

CIF file:
```
data_PrMgIrPd
_chemical_formula_sum 'Pr4 Mg4 Ir4 Pd4'
_cell_length_a 6.846
_cell_length_b 6.846
_cell_length_c 6.846
_cell_angle_alpha 90.00
_cell_angle_beta 90.00
_cell_angle_gamma 90.00
_symmetry_space_group_name_H-M 'P 1'
_symmetry_Int_Tables_number 1
loop_
_symmetry_equiv_pos_as_xyz
'x,y,z'
loop_
_atom_site_label
_atom_site_fract_x
_atom_site_fract_y
_atom_site_fract_z
Pr1 0.000 0.000 0.000
Pr2 0.000 0.500 0.500
Pr3 0.500 0.000 0.500
Pr4 0.500 0.500 0.000
Mg1 0.000 0.000 0.500
Mg2 0.000 0.500 0.000
Mg3 0.500 0.000 0.000
Mg4 0.500 0.500 0.500
Ir1 0.250 0.250 0.750
Ir2 0.250 0.750 0.250
Ir3 0.750 0.250 0.250
Ir4 0.750 0.750 0.750
Pd1 0.250 0.250 0.250
Pd2 0.250 0.750 0.750
Pd3 0.750 0.250 0.750
Pd4 0.750 0.750 0.250
```

The size of the total moment is 0.00 μB per formula unit. The calculation puts the density of states at the Fermi level at 0.37 states/eV/atom. Its formation energy is -0.5174 eV per atom.

Record 2
Here is a geometry-optimized MgIrPd2Ru structure from Alexandria via LeMat-Bulk. Energies are from PBE.

CIF file:
```
data_MgIrPd2Ru
_chemical_formula_sum 'Mg1 Ir1 Pd2 Ru1'
_cell_length_a 4.398
_cell_length_b 4.398
_cell_length_c 4.604
_cell_angle_alpha 90.00
_cell_angle_beta 90.00
_cell_angle_gamma 90.00
_symmetry_space_group_name_H-M 'P 1'
_symmetry_Int_Tables_number 1
loop_
_symmetry_equiv_pos_as_xyz
'x,y,z'
loop_
_atom_site_label
_atom_site_fract_x
_atom_site_fract_y
_atom_site_fract_z
Mg1 0.000 0.000 0.000
Ir1 0.500 0.500 0.500
Pd1 0.000 0.500 0.000
Pd2 0.500 0.000 0.000
Ru1 0.000 0.000 0.500
```

The size of the total moment is 2.95 μB per formula unit. The calculation puts the density of states at the Fermi level at 0.75 states/eV/atom. Its formation energy is 1.3507 eV per atom.

size of the total moment of number 1 (PrMgIrPd)? 0.00 μB per formula unit

What did the second record say?
Here is a geometry-optimized MgIrPd2Ru structure from Alexandria via LeMat-Bulk. Energies are from PBE.

CIF file:
```
data_MgIrPd2Ru
_chemical_formula_sum 'Mg1 Ir1 Pd2 Ru1'
_cell_length_a 4.398
_cell_length_b 4.398
_cell_length_c 4.604
_cell_angle_alpha 90.00
_cell_angle_beta 90.00
_cell_angle_gamma 90.00
_symmetry_space_group_name_H-M 'P 1'
_symmetry_Int_Tables_number 1
loop_
_symmetry_equiv_pos_as_xyz
'x,y,z'
loop_
_atom_site_label
_atom_site_fract_x
_atom_site_fract_y
_atom_site_fract_z
Mg1 0.000 0.000 0.000
Ir1 0.500 0.500 0.500
Pd1 0.000 0.500 0.000
Pd2 0.500 0.000 0.000
Ru1 0.000 0.000 0.500
```

The size of the total moment is 2.95 μB per formula unit. The calculation puts the density of states at the Fermi level at 0.75 states/eV/atom. Its formation energy is 1.3507 eV per atom.